# Li2MnFeB2O6

A relaxed structure of Li2MnFeB2O6 (PBE+U, Alexandria via LeMat-Bulk).

Total DFT energy (no corrections), Ha/atom: -0.261
Polymorph energy (0 for the lowest one), eV/f.u.: 0.04

```
data_Li2MnFeB2O6
_chemical_formula_sum 'Li4 Mn2 Fe2 B4 O12'
_symmetry_space_group_name_H-M 'P -1'
_symmetry_Int_Tables_number 2
_cell_length_a 5.1613
_cell_length_b 6.0043
_cell_length_c 9.1383
_cell_angle_alpha 76.04
_cell_angle_beta 89.16
_cell_angle_gamma 67.02
loop_
_symmetry_equiv_pos_as_xyz
'x,y,z'
'-x,-y,-z'
loop_
_atom_site_label
_atom_site_type_symbol
_atom_site_fract_x
_atom_site_fract_y
_atom_site_fract_z
Li1 Li 0.2467 0.1800 0.3117
Li2 Li 0.2505 0.8289 0.1867
Mn1 Mn 0.2160 0.2590 0.6259
Fe1 Fe 0.2911 0.7367 0.8794
B1 B 0.2272 0.2398 0.9641
B2 B 0.2665 0.7629 0.5405
O1 O 0.0566 0.6688 0.5684
O2 O 0.1172 0.1790 0.8487
O3 O 0.1344 0.2065 0.1068
O4 O 0.3568 0.8025 0.3972
O5 O 0.3716 0.8266 0.6570
O6 O 0.4468 0.3250 0.9359
```